VASP calculation (PBE) on an optimized crystal structure of UNbRe.

The structure belongs to space group F-43m (No. 216); the cell edges are 6.2603, 6.2603 and 6.2603 Å and the angles 90.00°, 90.00° and 90.00°. The inequivalent atoms are U at (0.0000, 0.0000, 0.0000), Nb at (0.2500, 0.2500, 0.2500) and Re at (0.2500, 0.2500, 0.7500).

The value obtained for the total magnetization is 0.0005 μB/atom. The calculated formation energy is 2.67 eV/f.u.

***

VASP calculation (PBE) on an optimized crystal structure of RbPrSO.

The structure belongs to space group R3m (No. 160, hexagonal axes); the cell edges are 3.9228, 3.9228 and 21.7436 Å and the angles 90.00°, 90.00° and 120.00°. The inequivalent atoms are Rb at (0.0000, 0.0000, 0.0000), Pr at (0.0000, 0.0000, 0.5154), S at (0.0000, 0.0000, 0.7688) and O at (0.0000, 0.0000, 0.2274).

The value obtained for the total magnetization is 0.0001 μB/atom. The final energy is -23.252 eV per formula unit.

***

VASP calculation (PBE) on an optimized crystal structure of ZrZn2Pt.

The structure belongs to space group I4/mmm (No. 139); the cell edges are 4.3825, 4.3825 and 6.6143 Å and the angles 90.00°, 90.00° and 90.00°. The inequivalent atoms are Zr at (0.0000, 0.0000, 0.0000), Zn at (0.0000, 0.5000, 0.2500) and Pt at (0.0000, 0.0000, 0.5000).

The value obtained for the total magnetization is 0.0001 μB/atom. The calculated formation energy is -2.10 eV/f.u.

***

VASP calculation (PBE) on an optimized crystal structure of NbAsPdO.

The structure belongs to space group Pmc2_1 (No. 26); the cell edges are 3.5208, 5.9397 and 6.9398 Å and the angles 90.00°, 90.00° and 90.00°. The inequivalent atoms are Nb at (0.0000, 0.0624, 0.0000), As at (0.5000, 0.3169, 0.8357), Pd at (0.5000, 0.2925, 0.4905) and O at (0.0000, 0.1519, 0.2611).

The value obtained for the total magnetization is 0.0001 μB/atom. The final energy is -27.883 eV per formula unit.